# 1
Material: Na2SbS3
Method: DFT, PBE-GGA
State: optimized geometry

The formation energy from raw total energies comes out at -0.6857 eV per atom. As for the energy above the most stable polymorph in this dataset: 16 meV per atom.

The space group is Imm2 (No. 44) and the conventional cell measures 4.688, 12.662 and 5.959 Å, with angles of 90.00, 90.00 and 90.00 degrees. The inequivalent atoms are Na at (0.000, 0.162, 0.000), Sb at (0.000, 0.500, 0.017), S at (0.000, 0.000, 0.334) and S at (0.000, 0.349, 0.253).

***

# 2
Material: Pm4NdSb2
Method: DFT, PBE-GGA
State: optimized geometry

The formation energy from raw total energies comes out at 0.1346 eV per atom.

The space group is I4/mmm (No. 139) and the conventional cell measures 5.364, 5.364 and 16.921 Å, with angles of 90.00, 90.00 and 90.00 degrees. The inequivalent atoms are Pm at (0.000, 0.000, 0.184), Pm at (0.000, 0.500, 0.000), Nd at (0.000, 0.000, 0.000) and Sb at (0.000, 0.000, 0.367).

***

# 3
Material: NpV2As
Method: DFT, PBE-GGA
State: optimized geometry

As for the energy above the most stable polymorph in this dataset: 0 meV per atom.

The space group is P4/mmm (No. 123) and the conventional cell measures 4.240, 4.240 and 3.437 Å, with angles of 90.00, 90.00 and 90.00 degrees. The inequivalent atoms are Np at (0.000, 0.000, 0.000), V at (0.000, 0.500, 0.500) and As at (0.500, 0.500, 0.000).